(1)
The following is a GGA-PBE calculation of a relaxed TlZnTc2 crystal, from Alexandria via LeMat-Bulk.

abc: 4.2000 4.2000 7.3956
angles: 90.00 90.00 90.00
Closest atoms and distances in Å follow each position.
Space group I-4m2 (No. 119)
Asymmetric unit:
1 Tl 0.0000 0.0000 0.0000 [2 per cell]  8 Tc 2.80-2.97, 4 Zn 2.80
2 Zn 0.0000 0.5000 0.7500 [2 per cell]  4 Tl 2.80, 8 Tc 2.80-2.97
3 Tc 0.0000 0.0000 0.5000 [2 per cell]  4 Tc 2.80, 4 Zn 2.80, 4 Tl 2.97
4 Tc 0.0000 0.5000 0.2500 [2 per cell]  4 Tl 2.80, 4 Tc 2.80, 4 Zn 2.97

Results
- distance to the lowest polymorph of the same formula (meV/atom) = 311
- formation energy (meV/atom) = 531
- total moment (μB per cell) = 0.00
- ρ (g/cm³) = 11.858

***

(2)
The following is a GGA-PBE calculation of a relaxed TlZnTc2 crystal, from Alexandria via LeMat-Bulk.

abc: 3.0172 2.9602 8.1915
angles: 90.00 100.53 90.00
Closest atoms and distances in Å follow each position.
Space group Pm (No. 6)
Asymmetric unit:
1 Tl 0.0000 0.0000 0.0000 [1 per cell]  4 Tl 2.96-3.02, 2 Zn 3.01, 4 Tc 3.07-3.08
2 Zn 0.8349 0.5000 0.6753 [1 per cell]  4 Tc 2.75, 4 Zn 2.96-3.02, 2 Tl 3.01
3 Tc 0.2258 0.0000 0.4561 [1 per cell]  4 Tc 2.56, 4 Zn 2.75
4 Tc 0.6371 0.5000 0.2774 [1 per cell]  4 Tc 2.56

Results
- distance to the lowest polymorph of the same formula (meV/atom) = 0
- formation energy (meV/atom) = 220
- total moment (μB per cell) = 0.00
- ρ (g/cm³) = 10.753

***

Question: Which value of formation energy does entry 2 give?
Answer: 220 meV/atom

***

Question: distance to the lowest polymorph of the same formula of number 2 (TlZnTc2)?
Answer: 0 meV/atom